{
  "formula": "TeC3F",
  "functional": "GGA-PBE",
  "state": "relaxed",
  "final_energy_ev_per_atom": -3.48,
  "raw_formation_energy_ev_per_atom": 3.06,
  "sg": "Pm-3m",
  "lattice": [[3.9016, 0.0000, 0.0000], [0.0000, 3.9016, 0.0000], [0.0000, 0.0000, 3.9016]],
  "species": ["Te", "C", "C", "C", "F"],
  "fractional_positions": [[0.0000, 0.0000, 0.0000], [0.0000, 0.5000, 0.5000], [0.5000, 0.0000, 0.5000], [0.5000, 0.5000, 0.0000], [0.5000, 0.5000, 0.5000]]
}